Record 1
First-principles (PBE) data for a geometry-optimized BaTeRhO6 structure, as listed in Alexandria.

The structure in CIF format:
```
data_BaTeRhO6
_cell_length_a 5.3159
_cell_length_b 5.3159
_cell_length_c 5.8575
_cell_angle_alpha 90.00
_cell_angle_beta 90.00
_cell_angle_gamma 60.00
_space_group_name_H-M_alt 'P 1'
_space_group_IT_number 1
loop_
_space_group_symop_operation_xyz
'x,y,z'
loop_
_atom_site_label
_atom_site_fract_x
_atom_site_fract_y
_atom_site_fract_z
O1 0.0068 0.6155 0.6904
O2 0.0068 0.3778 0.3095
O3 0.3777 0.0068 0.6904
O4 0.6154 0.0068 0.3095
O5 0.6154 0.3778 0.6904
O6 0.3778 0.6154 0.3095
Rh1 0.6666 0.6667 0.5000
Te1 0.3333 0.3333 0.5000
Ba1 0.0000 0.0000 0.0000
```

E = -6.126 eV/atom
Total magnetic moment = 0.116 μB/atom
Volume = 143.3 Å³/f.u.
Formation energy (no corrections) = -1252 kJ/mol of formula units

Record 2
First-principles (PBE) data for a geometry-optimized In4Ga3Sn2 structure, as listed in Alexandria.

The structure in CIF format:
```
data_In4Ga3Sn2
_cell_length_a 6.1305
_cell_length_b 9.1334
_cell_length_c 9.1334
_cell_angle_alpha 102.90
_cell_angle_beta 74.70
_cell_angle_gamma 74.70
_space_group_name_H-M_alt 'P 1'
_space_group_IT_number 1
loop_
_space_group_symop_operation_xyz
'x,y,z'
loop_
_atom_site_label
_atom_site_fract_x
_atom_site_fract_y
_atom_site_fract_z
Sn1 0.8231 0.5719 0.8098
Sn2 0.6769 0.1902 0.4281
Sn3 0.1769 0.4281 0.1902
Sn4 0.3231 0.8098 0.5719
In1 0.0320 0.7787 0.1291
In2 0.4680 0.8709 0.2213
In3 0.8562 0.8197 0.4884
In4 0.6438 0.5116 0.1803
In5 0.5320 0.1291 0.7787
In6 0.9680 0.2213 0.8709
In7 0.1438 0.1803 0.5116
In8 0.3562 0.4884 0.8197
Ga1 0.2500 0.4954 0.5046
Ga2 0.3988 0.8616 0.8805
Ga3 0.6012 0.1384 0.1195
Ga4 0.8988 0.8805 0.8616
Ga5 0.1012 0.1195 0.1384
Ga6 0.7500 0.5046 0.4954
```

E = -3.081 eV/atom
Total magnetic moment = 0.000 μB/atom
Volume = 225.8 Å³/f.u.
Formation energy from the elements = 0.035 eV per atom

Record 3
First-principles (PBE) data for a geometry-optimized FeTe4W structure, as listed in Alexandria.

The structure in CIF format:
```
data_FeTe4W
_cell_length_a 6.1554
_cell_length_b 6.1554
_cell_length_c 6.1554
_cell_angle_alpha 60.00
_cell_angle_beta 60.00
_cell_angle_gamma 60.00
_space_group_name_H-M_alt 'P 1'
_space_group_IT_number 1
loop_
_space_group_symop_operation_xyz
'x,y,z'
loop_
_atom_site_label
_atom_site_fract_x
_atom_site_fract_y
_atom_site_fract_z
Te1 0.3752 0.3752 0.3752
Te2 0.3752 0.8744 0.3752
Te3 0.8744 0.3752 0.3752
Te4 0.3752 0.3752 0.8744
Fe1 0.0000 0.0000 0.0000
W1 0.7500 0.7500 0.7500
```

E = -3.968 eV/atom
Total magnetic moment = 1.196 μB/atom
Volume = 164.9 Å³/f.u.
Formation energy (no corrections) = 982 kJ/mol of formula units

Record 4
First-principles (PBE) data for a geometry-optimized DyHoCdFe structure, as listed in Alexandria.

The structure in CIF format:
```
data_DyHoCdFe
_cell_length_a 5.0493
_cell_length_b 5.0493
_cell_length_c 5.0493
_cell_angle_alpha 60.00
_cell_angle_beta 60.00
_cell_angle_gamma 60.00
_space_group_name_H-M_alt 'P 1'
_space_group_IT_number 1
loop_
_space_group_symop_operation_xyz
'x,y,z'
loop_
_atom_site_label
_atom_site_fract_x
_atom_site_fract_y
_atom_site_fract_z
Cd1 0.7500 0.7500 0.7500
Ho1 0.0000 0.0000 0.0000
Fe1 0.2500 0.2500 0.2500
Dy1 0.5000 0.5000 0.5000
```

E = -4.650 eV/atom
Total magnetic moment = 0.398 μB/atom
Volume = 91.0 Å³/f.u.
Formation energy from the elements = -0.011 eV per atom

Among the records above, which one has the lowest E?
BaTeRhO6